# LiP2Br | Alexandria | PBE | relaxed
# **Magnetic moment**: 0.00 Bohr magnetons per cell
# **Crystal system**: tetragonal
# **Calculated volume**: 22.1 Å³ per atom
# **Offset from the most stable computed form**: 679 meV/atom
# **Uncorrected formation energy**: 181 meV/atom
data_LiP2Br
_cell_length_a 3.1037
_cell_length_b 3.1037
_cell_length_c 9.1896
_cell_angle_alpha 90.00
_cell_angle_beta 90.00
_cell_angle_gamma 90.00
_symmetry_space_group_name_H-M 'P 4/m m m'
_symmetry_Int_Tables_number 123
_symmetry_space_group_name_Hall '-P 4 2'
loop_
_atom_site_label
_atom_site_type_symbol
_atom_site_fract_x
_atom_site_fract_y
_atom_site_fract_z
Li1 Li 0.0000 0.0000 0.0000
P1 P 0.5000 0.5000 0.1196
Br1 Br 0.0000 0.0000 0.5000

=====

# Ta3NbNi2N | Alexandria | PBE | relaxed
# **Magnetic moment**: 0.00 Bohr magnetons per cell
# **Crystal system**: orthorhombic
# **Calculated volume**: 15.3 Å³ per atom
# **Uncorrected formation energy**: -161 meV/atom
data_Ta3NbNi2N
_cell_length_a 4.1185
_cell_length_b 4.1475
_cell_length_c 12.5392
_cell_angle_alpha 90.00
_cell_angle_beta 90.00
_cell_angle_gamma 90.00
_symmetry_space_group_name_H-M 'I m m m'
_symmetry_Int_Tables_number 71
_symmetry_space_group_name_Hall '-I 2 2'
loop_
_atom_site_label
_atom_site_type_symbol
_atom_site_fract_x
_atom_site_fract_y
_atom_site_fract_z
Ta1 Ta 0.0000 0.0000 0.0000
Ta2 Ta 0.0000 0.5000 0.3221
Nb1 Nb 0.0000 0.0000 0.5000
Ni1 Ni 0.0000 0.5000 0.1294
N1 N 0.0000 0.5000 0.5000

=====

Question: What is the uncorrected formation energy in the first record?
Answer: 181 meV/atom

=====

What did the second record say?
# Ta3NbNi2N | Alexandria | PBE | relaxed
# **Magnetic moment**: 0.00 Bohr magnetons per cell
# **Crystal system**: orthorhombic
# **Calculated volume**: 15.3 Å³ per atom
# **Uncorrected formation energy**: -161 meV/atom
data_Ta3NbNi2N
_cell_length_a 4.1185
_cell_length_b 4.1475
_cell_length_c 12.5392
_cell_angle_alpha 90.00
_cell_angle_beta 90.00
_cell_angle_gamma 90.00
_symmetry_space_group_name_H-M 'I m m m'
_symmetry_Int_Tables_number 71
_symmetry_space_group_name_Hall '-I 2 2'
loop_
_atom_site_label
_atom_site_type_symbol
_atom_site_fract_x
_atom_site_fract_y
_atom_site_fract_z
Ta1 Ta 0.0000 0.0000 0.0000
Ta2 Ta 0.0000 0.5000 0.3221
Nb1 Nb 0.0000 0.0000 0.5000
Ni1 Ni 0.0000 0.5000 0.1294
N1 N 0.0000 0.5000 0.5000

=====

Question: Which value of calculated volume does entry 1 give?
Answer: 22.1 Å³ per atom

=====

Question: What is the calculated volume in the second record?
Answer: 15.3 Å³ per atom